# 1
A relaxed Er4AlC2S crystal. Source: OQMD via LeMat-Bulk, functional PBE-GGA.

## Properties
V   20.06 A^3/atom
Size of the total moment   0.27 μB/cell

Cell lengths 3.6031, 3.6031, 14.2706 Å; angles 90.00, 90.00, 120.00 degrees
Space group P-6m2 (No. 187)
Asymmetric unit:
Er  0.0000  0.0000  0.1315 [2 per cell]
Er  0.3333  0.6667  0.3180 [2 per cell]
Al  0.0000  0.0000  0.5000 [1 per cell]
C  0.6667  0.3333  0.2258 [2 per cell]
S  0.3333  0.6667  0.0000 [1 per cell]

=====

# 2
A relaxed Sm2ErAlC crystal. Source: OQMD via LeMat-Bulk, functional PBE-GGA.

## Properties
V   24.27 A^3/atom
Size of the total moment   0.01 μB/cell

Cell lengths 5.016, 5.016, 4.823 Å; angles 90.00, 90.00, 90.00 degrees
Space group P4/mmm (No. 123)
Asymmetric unit:
Sm  0.000  0.500  0.000 [2 per cell]
Er  0.000  0.000  0.500 [1 per cell]
Al  0.500  0.500  0.500 [1 per cell]
C  0.000  0.000  0.000 [1 per cell]

=====

# 3
A relaxed Er4AlTlC2 crystal. Source: OQMD via LeMat-Bulk, functional PBE-GGA.

## Properties
V   21.83 A^3/atom
Size of the total moment   0.31 μB/cell

Cell lengths 3.5533, 3.5533, 15.9742 Å; angles 90.00, 90.00, 120.00 degrees
Space group P-6m2 (No. 187)
Asymmetric unit:
Er  0.0000  0.0000  0.1610 [2 per cell]
Er  0.3333  0.6667  0.3287 [2 per cell]
Al  0.3333  0.6667  0.0000 [1 per cell]
Tl  0.0000  0.0000  0.5000 [1 per cell]
C  0.6667  0.3333  0.2470 [2 per cell]

=====

# 4
A relaxed ErTmAlC crystal. Source: OQMD via LeMat-Bulk, functional PBE-GGA.

## Properties
V   21.09 A^3/atom
Size of the total moment   0.40 μB/cell

Cell lengths 3.5146, 3.5146, 15.7706 Å; angles 90.00, 90.00, 120.00 degrees
Space group P-3m1 (No. 164)
Asymmetric unit:
Er  0.3333  0.6667  0.0855 [2 per cell]
Tm  0.3333  0.6667  0.4154 [2 per cell]
Al  0.3333  0.6667  0.7491 [2 per cell]
C  0.0000  0.0000  0.0000 [1 per cell]
C  0.0000  0.0000  0.5000 [1 per cell]

=====

# 5
A relaxed Er3TmAl2C2 crystal. Source: OQMD via LeMat-Bulk, functional PBE-GGA.

## Properties
V   21.16 A^3/atom
Size of the total moment   0.42 μB/cell

Cell lengths 3.5190, 3.5190, 15.7819 Å; angles 90.00, 90.00, 120.00 degrees
Space group P3m1 (No. 156)
Asymmetric unit:
Er  0.0000  0.0000  0.0000 [1 per cell]
Er  0.0000  0.0000  0.3302 [1 per cell]
Er  0.3333  0.6667  0.8292 [1 per cell]
Tm  0.3333  0.6667  0.5001 [1 per cell]
Al  0.0000  0.0000  0.6640 [1 per cell]
Al  0.3333  0.6667  0.1650 [1 per cell]
C  0.6667  0.3333  0.4153 [1 per cell]
C  0.6667  0.3333  0.9147 [1 per cell]

=====

# 6
A relaxed ErTmAlC crystal. Source: OQMD via LeMat-Bulk, functional PBE-GGA.

## Properties
V   21.09 A^3/atom
Size of the total moment   0.40 μB/cell

Cell lengths 3.5151, 3.5151, 15.7688 Å; angles 90.00, 90.00, 120.00 degrees
Space group P-6m2 (No. 187)
Asymmetric unit:
Er  0.0000  0.0000  0.1655 [2 per cell]
Tm  0.3333  0.6667  0.3356 [2 per cell]
Al  0.0000  0.0000  0.5000 [1 per cell]
Al  0.3333  0.6667  0.0000 [1 per cell]
C  0.6667  0.3333  0.2507 [2 per cell]

=====

# 7
A relaxed YEr2AlC crystal. Source: OQMD via LeMat-Bulk, functional PBE-GGA.

## Properties
V   22.74 A^3/atom
Size of the total moment   0.00 μB/cell

Cell lengths 4.833, 4.833, 4.868 Å; angles 90.00, 90.00, 90.00 degrees
Space group P4/mmm (No. 123)
Asymmetric unit:
Y  0.000  0.000  0.000 [1 per cell]
Er  0.000  0.500  0.500 [2 per cell]
Al  0.500  0.500  0.000 [1 per cell]
C  0.000  0.000  0.500 [1 per cell]

=====

# 8
A relaxed Hf4AlFeC2 crystal. Source: OQMD via LeMat-Bulk, functional PBE-GGA.

## Properties
V   15.80 A^3/atom
Size of the total moment   1.27 μB/cell

Cell lengths 3.2393, 3.2393, 13.9095 Å; angles 90.00, 90.00, 120.00 degrees
Space group P-6m2 (No. 187)
Asymmetric unit:
Hf  0.0000  0.0000  0.1410 [2 per cell]
Hf  0.6667  0.3333  0.3285 [2 per cell]
Al  0.0000  0.0000  0.5000 [1 per cell]
Fe  0.6667  0.3333  0.0000 [1 per cell]
C  0.3333  0.6667  0.2412 [2 per cell]

=====

# 9
A relaxed AlFeMo4C2 crystal. Source: OQMD via LeMat-Bulk, functional PBE-GGA.

## Properties
V   13.11 A^3/atom
Size of the total moment   2.29 μB/cell

Cell lengths 3.0168, 3.0168, 13.3039 Å; angles 90.00, 90.00, 120.00 degrees
Space group P-6m2 (No. 187)
Asymmetric unit:
Al  0.0000  0.0000  0.0000 [1 per cell]
Fe  0.3333  0.6667  0.5000 [1 per cell]
Mo  0.0000  0.0000  0.3449 [2 per cell]
Mo  0.3333  0.6667  0.1655 [2 per cell]
C  0.6667  0.3333  0.2552 [2 per cell]

=====

# 10
A relaxed Nb4AlFeC2 crystal. Source: OQMD via LeMat-Bulk, functional PBE-GGA.

## Properties
V   14.14 A^3/atom
Size of the total moment   1.32 μB/cell

Cell lengths 3.1113, 3.1113, 13.4924 Å; angles 90.00, 90.00, 120.00 degrees
Space group P-6m2 (No. 187)
Asymmetric unit:
Nb  0.0000  0.0000  0.1460 [2 per cell]
Nb  0.6667  0.3333  0.3340 [2 per cell]
Al  0.0000  0.0000  0.5000 [1 per cell]
Fe  0.6667  0.3333  0.0000 [1 per cell]
C  0.3333  0.6667  0.2402 [2 per cell]

=====

# 11
A relaxed Sm2AlFeC crystal. Source: OQMD via LeMat-Bulk, functional PBE-GGA.

## Properties
V   19.54 A^3/atom
Size of the total moment   0.42 μB/cell

Cell lengths 5.144, 5.144, 3.692 Å; angles 90.00, 90.00, 90.00 degrees
Space group P4/mmm (No. 123)
Asymmetric unit:
Sm  0.000  0.500  0.000 [2 per cell]
Al  0.000  0.000  0.500 [1 per cell]
Fe  0.500  0.500  0.500 [1 per cell]
C  0.500  0.500  0.000 [1 per cell]

=====

# 12
A relaxed Ta4AlFeC2 crystal. Source: OQMD via LeMat-Bulk, functional PBE-GGA.

## Properties
V   13.90 A^3/atom
Size of the total moment   0.94 μB/cell

Cell lengths 3.0833, 3.0833, 13.5078 Å; angles 90.00, 90.00, 120.00 degrees
Space group P-6m2 (No. 187)
Asymmetric unit:
Ta  0.0000  0.0000  0.1458 [2 per cell]
Ta  0.3333  0.6667  0.3348 [2 per cell]
Al  0.0000  0.0000  0.5000 [1 per cell]
Fe  0.3333  0.6667  0.0000 [1 per cell]
C  0.6667  0.3333  0.2404 [2 per cell]

=====

Quick rundown of DFT total energy, same order as above: -6.34, -5.70, -5.69, -5.78, -5.79, -5.78, -6.14, -9.31, -9.23, -9.20, -6.37, -10.14 eV/atom